1.
Entry from Alexandria: an optimized crystal structure of ThSc2Pt9 (PBE-GGA).

Properties
ΔE_f ... -1244 kJ/mol of formula units
Spin magnetization ... 0.00 μB/cell
E ... -7.28 eV per atom
Volume ... 205 Å³ per cell

Cell lengths 4.095, 4.095, 12.212 Å; angles 90.00, 90.00, 90.00 degrees
Fractional coordinates of all 12 atoms:
Pt: 0.000 0.500 0.822
Pt: 0.500 0.000 0.500
Pt: 0.500 0.500 0.661
Pt: 0.500 0.000 0.822
Pt: 0.000 0.500 0.178
Pt: 0.000 0.500 0.500
Pt: 0.500 0.000 0.178
Pt: 0.500 0.500 0.000
Pt: 0.500 0.500 0.339
Sc: 0.000 0.000 0.341
Sc: 0.000 0.000 0.659
Th: 0.000 0.000 0.000


2.
Entry from Alexandria: an optimized crystal structure of ThScPt (PBE-GGA).

Properties
ΔE to the lowest computed polymorph ... 0.1776 eV per atom
ΔE_f ... -196 kJ/mol of formula units
Spin magnetization ... 0.00 μB/cell
E ... -7.27 eV per atom
Volume ... 80 Å³ per cell

Cell lengths 4.837, 4.837, 4.837 Å; angles 60.00, 60.00, 60.00 degrees
Fractional coordinates of all 3 atoms:
Th: 0.500 0.500 0.500
Pt: 0.250 0.250 0.250
Sc: 0.000 0.000 0.000


3.
Entry from Alexandria: an optimized crystal structure of Th2Sc3Pt4 (PBE-GGA).

Properties
ΔE_f ... -1002 kJ/mol of formula units
Spin magnetization ... 0.00 μB/cell
E ... -7.60 eV per atom
Volume ... 390 Å³ per cell

Cell lengths 7.387, 7.294, 7.728 Å; angles 90.00, 90.00, 110.37 degrees
Fractional coordinates of all 18 atoms:
Sc: 0.244 0.253 0.667
Sc: 0.256 0.747 0.167
Sc: 0.000 0.500 0.500
Sc: 0.500 0.500 0.000
Sc: 0.756 0.747 0.333
Sc: 0.744 0.253 0.833
Pt: 0.156 0.921 0.453
Pt: 0.844 0.079 0.547
Pt: 0.369 0.497 0.363
Pt: 0.631 0.503 0.637
Pt: 0.656 0.921 0.047
Pt: 0.344 0.079 0.953
Pt: 0.869 0.497 0.137
Pt: 0.131 0.503 0.863
Th: 0.070 0.197 0.176
Th: 0.430 0.803 0.676
Th: 0.930 0.803 0.824
Th: 0.570 0.197 0.324


4.
Entry from Alexandria: an optimized crystal structure of ThSc2Pt (PBE-GGA).

Properties
ΔE to the lowest computed polymorph ... 0.0241 eV per atom
ΔE_f ... -240 kJ/mol of formula units
Spin magnetization ... 0.00 μB/cell
E ... -7.15 eV per atom
Volume ... 91 Å³ per cell

Cell lengths 3.372, 3.372, 8.034 Å; angles 90.00, 90.00, 90.00 degrees
Fractional coordinates of all 4 atoms:
Th: 0.500 0.500 0.500
Sc: 0.000 0.000 0.195
Sc: 0.000 0.000 0.805
Pt: 0.500 0.500 0.000